Entry 1:
The following is a DFT calculation (PBE) of crystalline RbDyBeTe3 at its relaxed geometry.

Properties
Total magnetization, μB per atom: 0.001
Total DFT energy (no corrections), eV/atom: -4.14
Space group: Cmcm

a = 8.530 Å, b = 8.530 Å, c = 11.629 Å
α = 90.00°, β = 90.00°, γ = 150.86°
Sites, in units of the cell vectors:
Rb (0.242, 0.758, 0.750)
Rb (0.758, 0.242, 0.250)
Dy (0.500, 0.500, 0.000)
Dy (0.500, 0.500, 0.500)
Be (0.037, 0.963, 0.250)
Be (0.963, 0.037, 0.750)
Te (0.122, 0.878, 0.075)
Te (0.122, 0.878, 0.425)
Te (0.443, 0.557, 0.250)
Te (0.557, 0.443, 0.750)
Te (0.878, 0.122, 0.575)
Te (0.878, 0.122, 0.925)

=====

Entry 2:
The following is a DFT calculation (PBE) of crystalline DyBeTlS3 at its relaxed geometry.

Properties
Total magnetization, μB per atom: 0.000
Total DFT energy (no corrections), eV/atom: -5.13
Space group: Cmcm

a = 7.478 Å, b = 7.478 Å, c = 10.448 Å
α = 90.00°, β = 90.00°, γ = 150.30°
Sites, in units of the cell vectors:
Dy (0.000, 0.000, 0.000)
Dy (0.000, 0.000, 0.500)
Be (0.462, 0.538, 0.750)
Be (0.538, 0.462, 0.250)
Tl (0.251, 0.749, 0.250)
Tl (0.749, 0.251, 0.750)
S (0.051, 0.949, 0.750)
S (0.382, 0.618, 0.583)
S (0.382, 0.618, 0.917)
S (0.618, 0.382, 0.083)
S (0.618, 0.382, 0.417)
S (0.949, 0.051, 0.250)

=====

Entry 3:
The following is a DFT calculation (PBE) of crystalline DyScBe at its relaxed geometry.

Properties
Total magnetization, μB per atom: 0.000
Total DFT energy (no corrections), eV/atom: -4.01
Space group: F-43m

a = 4.591 Å, b = 4.591 Å, c = 4.591 Å
α = 60.00°, β = 60.00°, γ = 60.00°
Sites, in units of the cell vectors:
Dy (0.000, 0.000, 0.000)
Sc (0.750, 0.750, 0.750)
Be (0.500, 0.500, 0.500)

=====

Entry 4:
The following is a DFT calculation (PBE) of crystalline DyBeSi at its relaxed geometry.

Properties
Total magnetization, μB per atom: 0.000
Total DFT energy (no corrections), eV/atom: -4.64
Space group: F-43m

a = 4.359 Å, b = 4.359 Å, c = 4.359 Å
α = 60.00°, β = 60.00°, γ = 60.00°
Sites, in units of the cell vectors:
Dy (0.000, 0.000, 0.000)
Be (0.500, 0.500, 0.500)
Si (0.750, 0.750, 0.750)

=====

Entry 5:
The following is a DFT calculation (PBE) of crystalline Dy2BeSi3 at its relaxed geometry.

Properties
Total magnetization, μB per atom: 0.000
Total DFT energy (no corrections), eV/atom: -5.53
Space group: Pmm2

a = 3.937 Å, b = 4.026 Å, c = 6.760 Å
α = 90.00°, β = 90.00°, γ = 90.00°
Sites, in units of the cell vectors:
Dy (0.000, 0.000, 0.000)
Dy (0.500, 0.000, 0.500)
Be (0.000, 0.500, 0.673)
Si (0.000, 0.500, 0.350)
Si (0.500, 0.500, 0.165)
Si (0.500, 0.500, 0.819)

=====

Entry 6:
The following is a DFT calculation (PBE) of crystalline DyBeSi at its relaxed geometry.

Properties
Total magnetization, μB per atom: 0.000
Total DFT energy (no corrections), eV/atom: -4.13
Space group: F-43m

a = 4.535 Å, b = 4.535 Å, c = 4.535 Å
α = 60.00°, β = 60.00°, γ = 60.00°
Sites, in units of the cell vectors:
Dy (0.000, 0.000, 0.000)
Be (0.750, 0.750, 0.750)
Si (0.250, 0.250, 0.250)

=====

Entry 7:
The following is a DFT calculation (PBE) of crystalline Dy2Be2SiSn at its relaxed geometry.

Properties
Total magnetization, μB per atom: 0.001
Total DFT energy (no corrections), eV/atom: -4.87
Space group: P-6m2

a = 4.031 Å, b = 4.031 Å, c = 8.186 Å
α = 90.00°, β = 90.00°, γ = 120.00°
Sites, in units of the cell vectors:
Dy (0.000, 0.000, 0.238)
Dy (0.000, 0.000, 0.762)
Be (0.333, 0.667, 0.000)
Be (0.667, 0.333, 0.500)
Si (0.667, 0.333, 0.000)
Sn (0.333, 0.667, 0.500)

=====

Entry 8:
The following is a DFT calculation (PBE) of crystalline TbDyBe2Si2 at its relaxed geometry.

Properties
Total magnetization, μB per atom: 0.001
Total DFT energy (no corrections), eV/atom: -5.25
Space group: P-3m1

a = 3.876 Å, b = 3.876 Å, c = 8.069 Å
α = 90.00°, β = 90.00°, γ = 120.00°
Sites, in units of the cell vectors:
Tb (0.000, 0.000, 0.000)
Dy (0.000, 0.000, 0.500)
Be (0.333, 0.667, 0.251)
Be (0.667, 0.333, 0.749)
Si (0.333, 0.667, 0.749)
Si (0.667, 0.333, 0.251)

=====

Entry 9:
The following is a DFT calculation (PBE) of crystalline DyYBe2Si2 at its relaxed geometry.

Properties
Total magnetization, μB per atom: 0.001
Total DFT energy (no corrections), eV/atom: -5.56
Space group: P-3m1

a = 3.873 Å, b = 3.873 Å, c = 8.052 Å
α = 90.00°, β = 90.00°, γ = 120.00°
Sites, in units of the cell vectors:
Dy (0.000, 0.000, 0.000)
Y (0.000, 0.000, 0.500)
Be (0.333, 0.667, 0.750)
Be (0.667, 0.333, 0.250)
Si (0.333, 0.667, 0.250)
Si (0.667, 0.333, 0.750)

=====

Entry 10:
The following is a DFT calculation (PBE) of crystalline SmDyBe at its relaxed geometry.

Properties
Total magnetization, μB per atom: 0.001
Energy above the most stable polymorph in this dataset, eV per formula unit: 0.00
Space group: F-43m

a = 4.773 Å, b = 4.773 Å, c = 4.773 Å
α = 60.00°, β = 60.00°, γ = 60.00°
Sites, in units of the cell vectors:
Sm (0.000, 0.000, 0.000)
Dy (0.750, 0.750, 0.750)
Be (0.500, 0.500, 0.500)

=====

Entry 11:
The following is a DFT calculation (PBE) of crystalline SrDyBe at its relaxed geometry.

Properties
Total magnetization, μB per atom: 0.009
Total DFT energy (no corrections), eV/atom: -2.82
Space group: F-43m

a = 5.049 Å, b = 5.049 Å, c = 5.049 Å
α = 60.00°, β = 60.00°, γ = 60.00°
Sites, in units of the cell vectors:
Sr (0.000, 0.000, 0.000)
Dy (0.500, 0.500, 0.500)
Be (0.750, 0.750, 0.750)

=====

Entry 12:
The following is a DFT calculation (PBE) of crystalline Sr2DyBe at its relaxed geometry.

Properties
Total magnetization, μB per atom: 0.011
Total DFT energy (no corrections), eV/atom: -2.57
Space group: C2/m

a = 11.086 Å, b = 11.086 Å, c = 6.004 Å
α = 95.60°, β = 95.60°, γ = 21.95°
Sites, in units of the cell vectors:
Sr (0.131, 0.131, 0.066)
Sr (0.328, 0.328, 0.415)
Sr (0.672, 0.672, 0.585)
Sr (0.869, 0.869, 0.934)
Dy (0.000, 0.000, 0.500)
Dy (0.500, 0.500, 0.000)
Be (0.257, 0.257, 0.952)
Be (0.743, 0.743, 0.048)

=====

Entry 13:
The following is a DFT calculation (PBE) of crystalline DyBeTc at its relaxed geometry.

Properties
Total magnetization, μB per atom: 0.001
Total DFT energy (no corrections), eV/atom: -5.87
Space group: F-43m

a = 4.230 Å, b = 4.230 Å, c = 4.230 Å
α = 60.00°, β = 60.00°, γ = 60.00°
Sites, in units of the cell vectors:
Dy (0.000, 0.000, 0.000)
Be (0.250, 0.250, 0.250)
Tc (0.500, 0.500, 0.500)

=====

Entry 14:
The following is a DFT calculation (PBE) of crystalline DyBeTe at its relaxed geometry.

Properties
Total magnetization, μB per atom: 0.240
Total DFT energy (no corrections), eV/atom: -3.54
Space group: F-43m

a = 4.882 Å, b = 4.882 Å, c = 4.882 Å
α = 60.00°, β = 60.00°, γ = 60.00°
Sites, in units of the cell vectors:
Dy (0.000, 0.000, 0.000)
Be (0.500, 0.500, 0.500)
Te (0.750, 0.750, 0.750)

=====

Entry 15:
The following is a DFT calculation (PBE) of crystalline DyThBe at its relaxed geometry.

Properties
Total magnetization, μB per atom: 0.039
Energy above the most stable polymorph in this dataset, eV per formula unit: 0.00
Space group: F-43m

a = 4.794 Å, b = 4.794 Å, c = 4.794 Å
α = 60.00°, β = 60.00°, γ = 60.00°
Sites, in units of the cell vectors:
Dy (0.000, 0.000, 0.000)
Th (0.500, 0.500, 0.500)
Be (0.250, 0.250, 0.250)

=====

Entry 16:
The following is a DFT calculation (PBE) of crystalline DyBeTl at its relaxed geometry.

Properties
Total magnetization, μB per atom: 0.000
Energy above the most stable polymorph in this dataset, eV per formula unit: 1.07
Space group: F-43m

a = 4.815 Å, b = 4.815 Å, c = 4.815 Å
α = 60.00°, β = 60.00°, γ = 60.00°
Sites, in units of the cell vectors:
Dy (0.000, 0.000, 0.000)
Be (0.750, 0.750, 0.750)
Tl (0.250, 0.250, 0.250)

=====

Entry 17:
The following is a DFT calculation (PBE) of crystalline DyBeTl at its relaxed geometry.

Properties
Total magnetization, μB per atom: 0.000
Energy above the most stable polymorph in this dataset, eV per formula unit: 0.00
Space group: F-43m

a = 4.689 Å, b = 4.689 Å, c = 4.689 Å
α = 60.00°, β = 60.00°, γ = 60.00°
Sites, in units of the cell vectors:
Dy (0.000, 0.000, 0.000)
Be (0.500, 0.500, 0.500)
Tl (0.750, 0.750, 0.750)

=====

Entry 18:
The following is a DFT calculation (PBE) of crystalline DyUBe at its relaxed geometry.

Properties
Total magnetization, μB per atom: 0.900
Energy above the most stable polymorph in this dataset, eV per formula unit: 0.00
Space group: F-43m

a = 4.607 Å, b = 4.607 Å, c = 4.607 Å
α = 60.00°, β = 60.00°, γ = 60.00°
Sites, in units of the cell vectors:
Dy (0.000, 0.000, 0.000)
U (0.500, 0.500, 0.500)
Be (0.250, 0.250, 0.250)

=====

Entry 19:
The following is a DFT calculation (PBE) of crystalline DyYBe at its relaxed geometry.

Properties
Total magnetization, μB per atom: 0.004
Energy above the most stable polymorph in this dataset, eV per formula unit: 0.00
Space group: F-43m

a = 4.734 Å, b = 4.734 Å, c = 4.734 Å
α = 60.00°, β = 60.00°, γ = 60.00°
Sites, in units of the cell vectors:
Dy (0.000, 0.000, 0.000)
Y (0.250, 0.250, 0.250)
Be (0.750, 0.750, 0.750)

=====

Entry 20:
The following is a DFT calculation (PBE) of crystalline Dy3Zr3Be2 at its relaxed geometry.

Properties
Total magnetization, μB per atom: 0.006
Total DFT energy (no corrections), eV/atom: -5.07
Space group: P-4m2

a = 4.129 Å, b = 4.129 Å, c = 12.888 Å
α = 90.00°, β = 90.00°, γ = 90.00°
Sites, in units of the cell vectors:
Dy (0.000, 0.000, 0.000)
Dy (0.000, 0.000, 0.237)
Dy (0.000, 0.000, 0.763)
Zr (0.000, 0.000, 0.500)
Zr (0.500, 0.500, 0.000)
Zr (0.500, 0.500, 0.500)
Be (0.000, 0.500, 0.622)
Be (0.500, 0.000, 0.378)

=====

Entry 21:
The following is a DFT calculation (PBE) of crystalline ErBe at its relaxed geometry.

Properties
Total magnetization, μB per atom: 0.001
Energy above the most stable polymorph in this dataset, eV per formula unit: 0.00
Space group: Fm-3m

a = 3.972 Å, b = 3.972 Å, c = 3.972 Å
α = 60.00°, β = 60.00°, γ = 60.00°
Sites, in units of the cell vectors:
Er (0.000, 0.000, 0.000)
Be (0.500, 0.500, 0.500)

=====

Entry 22:
The following is a DFT calculation (PBE) of crystalline ErBe at its relaxed geometry.

Properties
Total magnetization, μB per atom: 0.006
Energy above the most stable polymorph in this dataset, eV per formula unit: 1.50
Space group: F-43m

a = 4.336 Å, b = 4.336 Å, c = 4.336 Å
α = 60.00°, β = 60.00°, γ = 60.00°
Sites, in units of the cell vectors:
Er (0.000, 0.000, 0.000)
Be (0.250, 0.250, 0.250)

=====

Entry 23:
The following is a DFT calculation (PBE) of crystalline ErBe4 at its relaxed geometry.

Properties
Total magnetization, μB per atom: 0.002
Total DFT energy (no corrections), eV/atom: -3.59
Space group: P4/nmm

a = 3.121 Å, b = 3.121 Å, c = 13.197 Å
α = 90.00°, β = 90.00°, γ = 90.00°
Sites, in units of the cell vectors:
Er (0.250, 0.250, 0.191)
Er (0.750, 0.750, 0.809)
Be (0.250, 0.250, 0.498)
Be (0.250, 0.750, 0.000)
Be (0.250, 0.750, 0.382)
Be (0.250, 0.750, 0.618)
Be (0.750, 0.250, 0.000)
Be (0.750, 0.250, 0.382)
Be (0.750, 0.250, 0.618)
Be (0.750, 0.750, 0.502)

=====

Entry 24:
The following is a DFT calculation (PBE) of crystalline ErBe at its relaxed geometry.

Properties
Total magnetization, μB per atom: 0.228
Energy above the most stable polymorph in this dataset, eV per formula unit: 0.93
Space group: P6_3/mmc

a = 4.726 Å, b = 4.726 Å, c = 5.577 Å
α = 90.00°, β = 90.00°, γ = 120.00°
Sites, in units of the cell vectors:
Er (0.333, 0.667, 0.250)
Er (0.667, 0.333, 0.750)
Be (0.333, 0.667, 0.750)
Be (0.667, 0.333, 0.250)

=====

Entry 25:
The following is a DFT calculation (PBE) of crystalline ErBe12 at its relaxed geometry.

Properties
Total magnetization, μB per atom: 0.000
Total DFT energy (no corrections), eV/atom: -3.89
Space group: I4/mmm

a = 5.808 Å, b = 5.808 Å, c = 5.808 Å
α = 97.51°, β = 97.51°, γ = 137.60°
Sites, in units of the cell vectors:
Er (0.000, 0.000, 0.000)
Be (0.000, 0.000, 0.500)
Be (0.000, 0.357, 0.357)
Be (0.000, 0.500, 0.000)
Be (0.000, 0.643, 0.643)
Be (0.267, 0.500, 0.767)
Be (0.357, 0.000, 0.357)
Be (0.500, 0.000, 0.000)
Be (0.500, 0.267, 0.767)
Be (0.500, 0.500, 0.500)
Be (0.500, 0.733, 0.233)
Be (0.643, 0.000, 0.643)
Be (0.733, 0.500, 0.233)

=====

Entry 26:
The following is a DFT calculation (PBE) of crystalline ErBe at its relaxed geometry.

Properties
Total magnetization, μB per atom: 0.006
Energy above the most stable polymorph in this dataset, eV per formula unit: 0.09
Space group: P-6m2

a = 3.402 Å, b = 3.402 Å, c = 4.264 Å
α = 90.00°, β = 90.00°, γ = 120.00°
Sites, in units of the cell vectors:
Er (0.000, 0.000, 0.000)
Be (0.333, 0.667, 0.500)

=====

Entry 27:
The following is a DFT calculation (PBE) of crystalline ErBeFe at its relaxed geometry.

Properties
Total magnetization, μB per atom: 0.322
Energy above the most stable polymorph in this dataset, eV per formula unit: 0.00
Space group: F-43m

a = 4.150 Å, b = 4.150 Å, c = 4.150 Å
α = 60.00°, β = 60.00°, γ = 60.00°
Sites, in units of the cell vectors:
Er (0.000, 0.000, 0.000)
Be (0.250, 0.250, 0.250)
Fe (0.500, 0.500, 0.500)

=====

Entry 28:
The following is a DFT calculation (PBE) of crystalline ErBeFe at its relaxed geometry.

Properties
Total magnetization, μB per atom: 0.500
Energy above the most stable polymorph in this dataset, eV per formula unit: 2.26
Space group: F-43m

a = 4.300 Å, b = 4.300 Å, c = 4.300 Å
α = 60.00°, β = 60.00°, γ = 60.00°
Sites, in units of the cell vectors:
Er (0.000, 0.000, 0.000)
Be (0.750, 0.750, 0.750)
Fe (0.250, 0.250, 0.250)

=====

Entry 29:
The following is a DFT calculation (PBE) of crystalline GdErBe2Ge2 at its relaxed geometry.

Properties
Total magnetization, μB per atom: 0.000
Total DFT energy (no corrections), eV/atom: -4.99
Space group: P-3m1

a = 3.916 Å, b = 3.916 Å, c = 8.103 Å
α = 90.00°, β = 90.00°, γ = 120.00°
Sites, in units of the cell vectors:
Gd (0.000, 0.000, 0.000)
Er (0.000, 0.000, 0.500)
Be (0.333, 0.667, 0.253)
Be (0.667, 0.333, 0.747)
Ge (0.333, 0.667, 0.746)
Ge (0.667, 0.333, 0.254)